(1)
The following is a PBEsol calculation of crystalline Y3SCl at its relaxed geometry, from the Alexandria database.

Values from the calculation:
Symmetry   Pm-3m, No. 221
E_form (uncorrected)   -0.3724 eV/atom
Mass density   4.425 g cm⁻³
Total DFT energy (no corrections)   -5.74 eV per atom

Cell and atoms, written as POSCAR:
```
Y3SCl
1.0
-3.403 -2.705 2.481
3.669 -2.609 2.188
0.111 3.307 3.756
Y S Cl
3 1 1
Direct
0.000 0.000 0.500
0.000 0.500 0.000
0.500 0.000 0.000
0.500 0.500 0.500
0.000 0.000 0.000
```

(2)
The following is a PBEsol calculation of crystalline SrCd2Tc at its relaxed geometry, from the Alexandria database.

Values from the calculation:
Symmetry   P4/mmm, No. 123
ΔE_f   0.3789 eV per atom
Mass density   7.718 g cm⁻³
Total DFT energy (no corrections)   -3.50 eV per atom

Cell and atoms, written as POSCAR:
```
SrCd2Tc
1.0
3.526 0.000 0.000
0.000 3.526 0.000
0.000 0.000 7.102
Tc Cd Sr
1 2 1
Direct
0.500 0.500 0.500
0.000 0.000 0.696
0.000 0.000 0.304
0.500 0.500 0.000
```

(3)
The following is a PBEsol calculation of crystalline BaMg2Pd at its relaxed geometry, from the Alexandria database.

Values from the calculation:
Symmetry   Fm-3m, No. 225
ΔE_f   -0.0316 eV per atom
Mass density   4.943 g cm⁻³
Total DFT energy (no corrections)   -2.92 eV per atom

Cell and atoms, written as POSCAR:
```
BaMg2Pd
1.0
5.179 0.000 0.000
2.589 4.485 0.000
2.589 1.495 4.228
Mg Pd Ba
2 1 1
Direct
0.750 0.750 0.750
0.250 0.250 0.250
0.000 0.000 0.000
0.500 0.500 0.500
```